(1)
Entry from Alexandria via LeMat-Bulk: a relaxed K2Ta3Cl9 crystal (GGA-PBEsol).

```
K2Ta3Cl9
1.0
5.001 -8.266 0.000
5.001 8.266 0.000
-4.053 0.000 8.592
K Ta Cl
4 6 18
direct
0.053 0.732 0.676
0.268 0.947 0.324
0.732 0.053 0.676
0.947 0.268 0.324
0.280 0.453 0.858
0.379 0.379 0.127
0.453 0.280 0.858
0.547 0.720 0.142
0.621 0.621 0.873
0.720 0.547 0.142
0.001 0.608 0.324
0.093 0.302 0.982
0.179 0.179 0.664
0.227 0.227 0.284
0.292 0.708 0.000
0.302 0.093 0.982
0.381 0.588 0.682
0.392 0.999 0.676
0.412 0.619 0.318
0.588 0.381 0.682
0.608 0.001 0.324
0.619 0.412 0.318
0.698 0.907 0.018
0.708 0.292 0.000
0.773 0.773 0.716
0.821 0.821 0.336
0.907 0.698 0.018
0.999 0.392 0.676
```

Total energy in eV/atom: -5.6451



(2)
Entry from Alexandria via LeMat-Bulk: a relaxed TcPt3Br crystal (GGA-PBEsol).

```
TcPt3Br
1.0
4.749 0.000 0.000
0.000 4.749 0.000
0.000 0.000 4.749
Tc Pt Br
1 3 1
direct
0.000 0.000 0.000
0.000 0.000 0.500
0.000 0.500 0.000
0.500 0.000 0.000
0.500 0.500 0.500
```

Total energy in eV/atom: -5.3804
Energy relative to the lowest polymorph listed for this composition in eV/atom: 0.000



(3)
Entry from Alexandria via LeMat-Bulk: a relaxed CeAl2Au2 crystal (GGA-PBEsol).

```
CeAl2Au2
1.0
4.350 0.000 0.000
0.000 4.350 0.000
0.000 0.000 10.333
Ce Al Au
2 4 4
direct
0.250 0.250 0.248
0.750 0.750 0.752
0.250 0.250 0.869
0.250 0.750 0.500
0.750 0.250 0.500
0.750 0.750 0.131
0.250 0.250 0.630
0.250 0.750 0.000
0.750 0.250 0.000
0.750 0.750 0.370
```

DFT formation energy in eV/atom: -0.68
Total energy in eV/atom: -5.2034



(4)
Entry from Alexandria via LeMat-Bulk: a relaxed AgPt2 crystal (GGA-PBEsol).

```
AgPt2
1.0
2.752 0.000 0.000
-1.376 2.383 0.000
0.000 0.000 7.010
Ag Pt
1 2
direct
0.000 0.000 0.000
0.333 0.667 0.666
0.667 0.333 0.334
```

DFT formation energy in eV/atom: 0.00
Total energy in eV/atom: -5.7491
Energy relative to the lowest polymorph listed for this composition in eV/atom: 0.000